{
  "formula": "TbGdScCd",
  "functional": "GGA-PBE",
  "state": "optimized geometry",
  "lattice_angstrom": [[-3.869, -2.209, -2.985], [1.179, -2.100, -4.792], [-0.137, -5.315, -0.706]],
  "species": ["Sc", "Gd", "Tb", "Cd"],
  "fractional_positions": [[0.000, 0.000, 0.000], [0.750, 0.750, 0.750], [0.250, 0.250, 0.250], [0.500, 0.500, 0.500]],
  "energy_ev_per_cell": -26.17,
  "space_group": "F-43m (216)",
  "density_g_cm3": 7.2
}



{
  "formula": "PmTh2Pb",
  "functional": "GGA-PBE",
  "state": "optimized geometry",
  "lattice_angstrom": [[-1.345, -4.044, -2.067], [3.565, -2.278, 2.137], [-6.230, -0.294, 10.081]],
  "species": ["Pm", "Pm", "Th", "Th", "Th", "Th", "Pb", "Pb"],
  "fractional_positions": [[0.692, 0.750, 0.383], [0.308, 0.250, 0.617], [0.558, 0.250, 0.117], [0.442, 0.750, 0.883], [0.059, 0.750, 0.118], [0.941, 0.250, 0.882], [0.171, 0.250, 0.339], [0.829, 0.750, 0.661]],
  "energy_ev_per_cell": -48.55,
  "space_group": "P2_1/m (11)",
  "density_g_cm3": 10.4
}



{
  "formula": "TlBiAsPd",
  "functional": "GGA-PBE",
  "state": "optimized geometry",
  "lattice_angstrom": [[-0.482, -2.660, 3.182], [3.349, -1.500, 1.992], [0.711, 4.033, 6.219]],
  "species": ["Tl", "Bi", "As", "Pd"],
  "fractional_positions": [[0.821, 0.821, 0.536], [0.027, 0.027, 0.918], [0.252, 0.252, 0.245], [0.625, 0.625, 0.124]],
  "energy_ev_per_cell": -16.66,
  "space_group": "R3m (160)",
  "density_g_cm3": 9.3
}